No. 1
DFT (GGA-PBEsol) results for crystalline La2ReW at its relaxed geometry.

a = 3.193 Å, b = 3.193 Å, c = 9.132 Å
α = 90.00°, β = 90.00°, γ = 90.00°
Space group P4mm (No. 99)
Inequivalent atoms, fractional coordinates:
La (0.000, 0.000, 0.000) (multiplicity 1)
La (0.500, 0.500, 0.373) (multiplicity 1)
Re (0.000, 0.000, 0.610) (multiplicity 1)
W (0.500, 0.500, 0.755) (multiplicity 1)

Values from the calculation:
M_tot (μB/cell): 0.00
Polymorph energy (0 for the lowest one) (meV/atom): 0
DOS(E_F) (states/eV/cell): 3.297
Calculated formation energy (eV per atom): 0.2139

=====

No. 2
DFT (GGA-PBEsol) results for crystalline BaTa2Ru at its relaxed geometry.

a = 3.972 Å, b = 3.972 Å, c = 10.161 Å
α = 90.00°, β = 90.00°, γ = 90.00°
Space group I4/mmm (No. 139)
Inequivalent atoms, fractional coordinates:
Ba (0.000, 0.000, 0.000) (multiplicity 2)
Ta (0.000, 0.500, 0.250) (multiplicity 4)
Ru (0.000, 0.000, 0.500) (multiplicity 2)

Values from the calculation:
M_tot (μB/cell): 0.00
Polymorph energy (0 for the lowest one) (meV/atom): 780
DOS(E_F) (states/eV/cell): 7.803
Calculated formation energy (eV per atom): 1.1532

=====

No. 3
DFT (GGA-PBEsol) results for crystalline K2IrF6 at its relaxed geometry.

a = 5.7649 Å, b = 5.7649 Å, c = 4.5802 Å
α = 90.00°, β = 90.00°, γ = 120.00°
Space group P-3m1 (No. 164)
Inequivalent atoms, fractional coordinates:
K (0.3333, 0.6667, 0.2850) (multiplicity 2)
Ir (0.0000, 0.0000, 0.0000) (multiplicity 1)
F (0.1648, 0.3296, 0.7709) (multiplicity 6)

Values from the calculation:
M_tot (μB/cell): 1.02
DOS(E_F) (states/eV/cell): 9.042
Final energy (eV/atom): -4.803

=====

No. 4
DFT (GGA-PBEsol) results for crystalline MnP2NO at its relaxed geometry.

a = 4.331 Å, b = 4.331 Å, c = 3.346 Å
α = 90.00°, β = 90.00°, γ = 90.00°
Space group P4/mmm (No. 123)
Inequivalent atoms, fractional coordinates:
Mn (0.000, 0.000, 0.000) (multiplicity 1)
P (0.000, 0.500, 0.000) (multiplicity 2)
N (0.500, 0.500, 0.500) (multiplicity 1)
O (0.000, 0.000, 0.500) (multiplicity 1)

Values from the calculation:
M_tot (μB/cell): 0.00
DOS(E_F) (states/eV/cell): 2.565
Final energy (eV/atom): -6.354

=====

No. 5
DFT (GGA-PBEsol) results for crystalline Ca2MnAl at its relaxed geometry.

a = 11.808 Å, b = 3.524 Å, c = 5.193 Å
α = 90.00°, β = 115.40°, γ = 90.00°
Space group Cm (No. 8)
Inequivalent atoms, fractional coordinates:
Ca (0.000, 0.000, 0.000) (multiplicity 2)
Ca (0.206, 0.000, 0.702) (multiplicity 2)
Mn (0.437, 0.000, 0.437) (multiplicity 2)
Al (0.263, 0.500, 0.257) (multiplicity 2)

Values from the calculation:
M_tot (μB/cell): 6.87
DOS(E_F) (states/eV/cell): 7.012
Calculated formation energy (eV per atom): 0.2002

=====

No. 6
DFT (GGA-PBEsol) results for crystalline NbTlNiS3 at its relaxed geometry.

a = 3.398 Å, b = 14.315 Å, c = 9.260 Å
α = 90.00°, β = 90.00°, γ = 90.00°
Space group Cmcm (No. 63)
Inequivalent atoms, fractional coordinates:
Nb (0.000, 0.000, 0.000) (multiplicity 4)
Tl (0.000, 0.252, 0.250) (multiplicity 4)
Ni (0.000, 0.467, 0.750) (multiplicity 4)
S (0.000, 0.065, 0.750) (multiplicity 4)
S (0.000, 0.377, 0.556) (multiplicity 8)

Values from the calculation:
M_tot (μB/cell): 0.00
DOS(E_F) (states/eV/cell): 6.247
Final energy (eV/atom): -6.236

=====

No. 7
DFT (GGA-PBEsol) results for crystalline HfCrRhCl2 at its relaxed geometry.

a = 4.266 Å, b = 4.266 Å, c = 5.079 Å
α = 90.00°, β = 90.00°, γ = 90.00°
Space group P4/mmm (No. 123)
Inequivalent atoms, fractional coordinates:
Hf (0.000, 0.000, 0.000) (multiplicity 1)
Cr (0.500, 0.500, 0.500) (multiplicity 1)
Rh (0.500, 0.500, 0.000) (multiplicity 1)
Cl (0.000, 0.500, 0.500) (multiplicity 2)

Values from the calculation:
M_tot (μB/cell): 3.12
DOS(E_F) (states/eV/cell): 4.903
Final energy (eV/atom): -6.221

=====

No. 8
DFT (GGA-PBEsol) results for crystalline MgCd2Ag at its relaxed geometry.

a = 3.536 Å, b = 3.536 Å, c = 6.127 Å
α = 90.00°, β = 90.00°, γ = 90.00°
Space group P4/mmm (No. 123)
Inequivalent atoms, fractional coordinates:
Mg (0.000, 0.000, 0.000) (multiplicity 1)
Cd (0.500, 0.500, 0.258) (multiplicity 2)
Ag (0.000, 0.000, 0.500) (multiplicity 1)

Values from the calculation:
M_tot (μB/cell): 0.00
Polymorph energy (0 for the lowest one) (meV/atom): 14
DOS(E_F) (states/eV/cell): 1.082
Calculated formation energy (eV per atom): -0.1044

=====

No. 9
DFT (GGA-PBEsol) results for crystalline KAg2As at its relaxed geometry.

a = 2.947 Å, b = 4.067 Å, c = 7.444 Å
α = 90.00°, β = 90.00°, γ = 90.00°
Space group Pmm2 (No. 25)
Inequivalent atoms, fractional coordinates:
K (0.000, 0.000, 0.000) (multiplicity 1)
Ag (0.000, 0.000, 0.521) (multiplicity 1)
Ag (0.500, 0.500, 0.333) (multiplicity 1)
As (0.500, 0.500, 0.693) (multiplicity 1)

Values from the calculation:
M_tot (μB/cell): 0.00
DOS(E_F) (states/eV/cell): 1.684
Calculated formation energy (eV per atom): 0.0791

=====

No. 10
DFT (GGA-PBEsol) results for crystalline MgRe2P at its relaxed geometry.

a = 2.8751 Å, b = 2.8751 Å, c = 25.3033 Å
α = 90.00°, β = 90.00°, γ = 120.00°
Space group R3m (No. 160, hexagonal axes)
Inequivalent atoms, fractional coordinates:
Mg (0.0000, 0.0000, 0.0000) (multiplicity 3)
Re (0.0000, 0.0000, 0.2435) (multiplicity 3)
Re (0.0000, 0.0000, 0.4930) (multiplicity 3)
P (0.0000, 0.0000, 0.7571) (multiplicity 3)

Values from the calculation:
M_tot (μB/cell): 0.00
DOS(E_F) (states/eV/cell): 6.646
Calculated formation energy (eV per atom): 0.0284

=====

No. 11
DFT (GGA-PBEsol) results for crystalline Ca5MgZn at its relaxed geometry.

a = 5.112 Å, b = 5.112 Å, c = 8.983 Å
α = 90.00°, β = 90.00°, γ = 90.00°
Space group P4/mmm (No. 123)
Inequivalent atoms, fractional coordinates:
Ca (0.000, 0.000, 0.000) (multiplicity 1)
Ca (0.000, 0.500, 0.302) (multiplicity 4)
Mg (0.500, 0.500, 0.000) (multiplicity 1)
Zn (0.000, 0.000, 0.500) (multiplicity 1)

Values from the calculation:
M_tot (μB/cell): 0.00
DOS(E_F) (states/eV/cell): 8.924
Calculated formation energy (eV per atom): -0.0221

=====

No. 12
DFT (GGA-PBEsol) results for crystalline KSc2Ir at its relaxed geometry.

a = 3.639 Å, b = 4.535 Å, c = 4.920 Å
α = 90.00°, β = 90.00°, γ = 90.00°
Space group Pmmm (No. 47)
Inequivalent atoms, fractional coordinates:
K (0.000, 0.000, 0.000) (multiplicity 1)
Sc (0.500, 0.000, 0.500) (multiplicity 1)
Sc (0.500, 0.500, 0.000) (multiplicity 1)
Ir (0.000, 0.500, 0.500) (multiplicity 1)

Values from the calculation:
M_tot (μB/cell): 0.00
Polymorph energy (0 for the lowest one) (meV/atom): 269
DOS(E_F) (states/eV/cell): 4.733
Calculated formation energy (eV per atom): 0.4054